DFT (PBE) results for NbCoTe2 after structural relaxation.

Cell lengths 6.8532, 6.8532, 6.8532 Å; angles 90.00, 90.00, 90.00 degrees
Space group F-43m (No. 216)
Inequivalent atoms, fractional coordinates:
1 Nb 0.0000 0.0000 0.0000 [4 per cell]
2 Co 0.2500 0.2500 0.2500 [4 per cell]
3 Te 0.0000 0.0000 0.5000 [4 per cell]
4 Te 0.2500 0.2500 0.7500 [4 per cell]

Theoretical density: 8.40 Mg/m³
Total energy: -5.160 eV per atom
Excess energy over the best structure of this formula in the dataset: 1.0867 eV/atom
Total magnetic moment: 0.18 μB/f.u.